Record 1
VASP calculation (PBE) on crystalline Pm3YTh2As6 at its relaxed geometry.

abc: 4.233 8.447 9.455
angles: 103.01 102.94 90.00
Sites, in units of the cell vectors:
Pm: 0.500 0.500 0.000
Pm: 0.834 0.166 0.668
Pm: 0.166 0.834 0.332
Y: 0.500 0.000 0.000
Th: 0.835 0.670 0.670
Th: 0.165 0.330 0.330
As: 0.335 0.917 0.670
As: 0.667 0.583 0.334
As: 0.665 0.083 0.330
As: 0.000 0.245 0.000
As: 0.000 0.755 0.000
As: 0.333 0.417 0.666

Results
- final energy (eV for the cell shown) = -81.53
- symmetry = C2/m
- E_form (eV/atom) = -1.506
- crystal system = monoclinic



Record 2
VASP calculation (PBE) on crystalline PmY3Th4As8 at its relaxed geometry.

abc: 8.433 8.387 8.433
angles: 120.18 120.00 90.00
Sites, in units of the cell vectors:
Pm: 0.000 0.500 0.000
Y: 0.500 0.500 0.000
Y: 0.500 0.500 0.500
Y: 0.000 0.500 0.500
Th: 0.500 0.000 0.000
Th: 0.500 0.000 0.500
Th: 0.000 0.000 0.000
Th: 0.000 0.000 0.500
As: 0.250 0.746 0.996
As: 0.250 0.746 0.500
As: 0.252 0.257 0.504
As: 0.746 0.746 0.996
As: 0.254 0.254 0.004
As: 0.748 0.743 0.496
As: 0.750 0.254 0.500
As: 0.750 0.254 0.004

Results
- final energy (eV for the cell shown) = -114.67
- symmetry = R-3m
- E_form (eV/atom) = -1.478
- crystal system = trigonal



Record 3
VASP calculation (PBE) on crystalline PmY3Th2As6 at its relaxed geometry.

abc: 4.198 8.358 9.355
angles: 102.67 102.97 90.00
Sites, in units of the cell vectors:
Pm: 0.500 0.000 0.000
Y: 0.500 0.500 0.000
Y: 0.834 0.166 0.669
Y: 0.166 0.834 0.331
Th: 0.835 0.669 0.669
Th: 0.165 0.331 0.331
As: 0.332 0.920 0.663
As: 0.666 0.587 0.331
As: 0.668 0.080 0.337
As: 0.999 0.254 0.997
As: 0.001 0.746 0.003
As: 0.334 0.413 0.669

Results
- final energy (eV for the cell shown) = -85.01
- symmetry = C2/m
- E_form (eV/atom) = -1.511
- crystal system = monoclinic



Record 4
VASP calculation (PBE) on crystalline Pm2ThZrAs4 at its relaxed geometry.

abc: 4.151 7.173 7.208
angles: 109.38 90.00 90.00
Sites, in units of the cell vectors:
Pm: 0.500 0.000 0.500
Pm: 0.000 0.500 0.500
Th: 0.500 0.500 0.000
Zr: 0.000 0.000 0.000
As: 0.500 0.234 0.235
As: 0.500 0.766 0.765
As: 0.000 0.241 0.757
As: 0.000 0.759 0.243

Results
- final energy (eV for the cell shown) = -55.01
- symmetry = P2/m
- E_form (eV/atom) = -1.368
- crystal system = monoclinic



Question: Among the records above, which one has the highest E_form?
Answer: Pm2ThZrAs4



Question: Which value of final energy does entry 1 give?
Answer: -81.53 eV for the cell shown



Copy entry 2 word for word.
VASP calculation (PBE) on crystalline PmY3Th4As8 at its relaxed geometry.

abc: 8.433 8.387 8.433
angles: 120.18 120.00 90.00
Sites, in units of the cell vectors:
Pm: 0.000 0.500 0.000
Y: 0.500 0.500 0.000
Y: 0.500 0.500 0.500
Y: 0.000 0.500 0.500
Th: 0.500 0.000 0.000
Th: 0.500 0.000 0.500
Th: 0.000 0.000 0.000
Th: 0.000 0.000 0.500
As: 0.250 0.746 0.996
As: 0.250 0.746 0.500
As: 0.252 0.257 0.504
As: 0.746 0.746 0.996
As: 0.254 0.254 0.004
As: 0.748 0.743 0.496
As: 0.750 0.254 0.500
As: 0.750 0.254 0.004

Results
- final energy (eV for the cell shown) = -114.67
- symmetry = R-3m
- E_form (eV/atom) = -1.478
- crystal system = trigonal